Entry 1:
## KCu2As (PBEsol)

Data for a relaxed structure of KCu2As.

Computed properties:
Magnetization: 0.00 μB per cell
Total DFT energy (no corrections): -3.84 eV per atom
Energy of formation from the pure elements: -0.11 eV/atom

Unit cell a=4.187 b=4.187 c=6.289 alpha=109.00 beta=109.00 gamma=59.92
Positions (direct):
K 0.000 0.000 0.000
Cu 0.497 0.497 0.488
Cu 0.820 0.820 0.459
As 0.189 0.189 0.566

***

Entry 2:
## K2CuAs (PBEsol)

Data for a relaxed structure of K2CuAs.

Computed properties:
Magnetization: 0.00 μB per cell
Total DFT energy (no corrections): -3.24 eV per atom
Energy of formation from the pure elements: -0.32 eV/atom

Unit cell a=6.237 b=6.237 c=5.769 alpha=90.00 beta=90.00 gamma=74.03
Positions (direct):
K 0.021 0.317 0.250
K 0.317 0.021 0.750
K 0.683 0.979 0.250
K 0.979 0.683 0.750
Cu 0.500 0.500 0.000
Cu 0.500 0.500 0.500
As 0.258 0.742 0.250
As 0.742 0.258 0.750

***

Entry 3:
## K2CuAs (PBEsol)

Data for a relaxed structure of K2CuAs.

Computed properties:
Magnetization: 0.00 μB per cell
Total DFT energy (no corrections): -3.17 eV per atom
Energy of formation from the pure elements: -0.24 eV/atom

Unit cell a=4.360 b=5.885 c=5.885 alpha=54.17 beta=90.00 gamma=90.00
Positions (direct):
K 0.000 0.000 0.000
K 0.500 0.305 0.305
Cu 0.500 0.627 0.627
As 0.000 0.684 0.684

***

Question: Which value of energy of formation from the pure elements does entry 3 give?
Answer: -0.24 eV/atom

***

Question: Among the records above, which one has the highest energy of formation from the pure elements?
Answer: KCu2As